Computed, not measured: a geometry-optimized Ac8Ni2Ag structure at the PBE level of DFT.

SG: Cm, No. 8
Volume in A^3/atom: 36.52
Energy relative to the elements in eV per atom: -0.02
Uncorrected energy in eV per atom: -4.32

a = 6.5609 Å, b = 8.4227 Å, c = 8.4227 Å
α = 116.11°, β = 98.41°, γ = 98.41°
Last column: nearest neighbours and their distance in Å.
Fractional coordinates of all 11 atoms:
Ac 0.5743 0.3533 0.0898  2 Ni 2.93-2.96
Ac 0.5743 0.0898 0.3533  2 Ni 2.93-2.96
Ac 0.1770 0.3809 0.3809  1 Ag 3.30, 2 Ni 3.60
Ac 0.9838 0.2227 0.7737  1 Ag 3.38, 2 Ni 3.39-3.46, 2 Ac 3.72-3.73
Ac 0.9838 0.7737 0.2227  1 Ag 3.38, 2 Ni 3.39-3.46, 2 Ac 3.72-3.73
Ac 0.7984 0.6317 0.6317  1 Ag 3.49, 2 Ni 3.58, 3 Ac 3.77-3.84
Ac 0.3873 0.9160 0.6503  2 Ni 2.95-2.98
Ac 0.3873 0.6503 0.9160  2 Ni 2.95-2.98
Ni 0.4920 0.7121 0.2979  4 Ac 2.93-2.98
Ni 0.4920 0.2979 0.7121  4 Ac 2.93-2.98
Ag 0.1495 0.0056 0.0056  8 Ac 3.30-3.49